Compound: Pu6MgS8
Source: Alexandria via LeMat-Bulk
Functional: PBE
Structure: relaxed

## Properties
raw formation energy	-1.67	eV/atom
final energy	-9.710	eV per atom
space-group type	Fm-3m (225)
Fermi-level density of states	3.42	states/eV per atom

Cell: 7.905 7.905 7.905 Å, 60.00 60.00 60.00°
Element x y z (fractional)
Pu 0.000 0.500 0.500
Pu 0.500 0.000 0.000
Pu 0.500 0.500 0.000
Pu 0.000 0.000 0.500
Pu 0.000 0.500 0.000
Pu 0.500 0.000 0.500
Mg 0.000 0.000 0.000
S 0.750 0.750 0.750
S 0.250 0.250 0.250
S 0.760 0.240 0.240
S 0.240 0.760 0.760
S 0.240 0.240 0.760
S 0.760 0.760 0.240
S 0.760 0.240 0.760
S 0.240 0.760 0.240